Density functional theory data (GGA-PBE) for crystalline Ce2Pr3TaN6 at its relaxed geometry.

Lattice parameters (Å, degrees): 6.0756 6.0756 6.1565 99.36 99.36 119.95
Atoms (fractional coordinates):
Ce 0.1666 0.8334 0.0000
Ce 0.8334 0.1666 0.0000
Pr 0.0000 0.0000 0.5000
Pr 0.3340 0.6660 0.5000
Pr 0.6660 0.3340 0.5000
Ta 0.5000 0.5000 0.0000
N 0.1254 0.4301 0.7911
N 0.2677 0.2677 0.2183
N 0.4301 0.1254 0.7911
N 0.5699 0.8746 0.2089
N 0.7323 0.7323 0.7817
N 0.8746 0.5699 0.2089

Properties
raw total energy = -8.685 eV per atom
formation energy from raw total energies = -1.350 eV/atom
magnetization = 0.00 μB/atom
N(E_F) = 7.19 states/eV/cell

=====

Density functional theory data (GGA-PBE) for crystalline MnRhBr3 at its relaxed geometry.

Lattice parameters (Å, degrees): 5.0758 5.0758 5.0758 90.00 90.00 90.00
Atoms (fractional coordinates):
Mn 0.0000 0.0000 0.0000
Rh 0.5000 0.5000 0.5000
Br 0.0000 0.5000 0.5000
Br 0.5000 0.0000 0.5000
Br 0.5000 0.5000 0.0000

Properties
raw total energy = -4.103 eV per atom
formation energy from raw total energies = 0.205 eV/atom
energy relative to the lowest polymorph listed for this composition = 0 meV per atom
magnetization = 1.08 μB/atom
N(E_F) = 3.27 states/eV/cell

=====

Density functional theory data (GGA-PBE) for crystalline Nd4Tl2Co at its relaxed geometry.

Lattice parameters (Å, degrees): 6.6945 3.8239 8.7215 90.00 103.75 90.00
Atoms (fractional coordinates):
Nd 0.1397 0.0000 0.3335
Nd 0.2583 0.5000 0.9862
Nd 0.7417 0.5000 0.0138
Nd 0.8603 0.0000 0.6665
Tl 0.3983 0.5000 0.6507
Tl 0.6017 0.5000 0.3493
Co 0.0000 0.0000 0.0000

Properties
energy relative to the elements = -87 meV per atom
raw total energy = -4.503 eV per atom
magnetization = 0.00 μB/atom
N(E_F) = 6.80 states/eV/cell

=====

Density functional theory data (GGA-PBE) for crystalline Sr2ScSi2 at its relaxed geometry.

Lattice parameters (Å, degrees): 7.4184 7.4184 4.8947 90.00 90.00 90.00
Atoms (fractional coordinates):
Sr 0.1739 0.3261 0.0000
Sr 0.3261 0.8261 0.0000
Sr 0.6739 0.1739 0.0000
Sr 0.8261 0.6739 0.0000
Sc 0.0000 0.0000 0.5000
Sc 0.5000 0.5000 0.5000
Si 0.1190 0.6190 0.5000
Si 0.3810 0.1190 0.5000
Si 0.6190 0.8810 0.5000
Si 0.8810 0.3810 0.5000

Properties
raw total energy = -4.479 eV per atom
formation energy from raw total energies = -0.370 eV/atom
magnetization = 0.19 μB/atom
N(E_F) = 3.53 states/eV/cell

=====

Density functional theory data (GGA-PBE) for crystalline Na2TaBOs at its relaxed geometry.

Lattice parameters (Å, degrees): 4.3864 4.3864 4.2736 90.00 90.00 90.00
Atoms (fractional coordinates):
Na 0.0000 0.5000 0.0000
Na 0.5000 0.0000 0.0000
Ta 0.0000 0.0000 0.5000
B 0.5000 0.5000 0.0000
Os 0.5000 0.5000 0.5000

Properties
energy relative to the elements = 1288 meV per atom
raw total energy = -5.192 eV per atom
magnetization = 0.00 μB/atom
N(E_F) = 4.46 states/eV/cell

=====

Density functional theory data (GGA-PBE) for crystalline TbEuGdDy at its relaxed geometry.

Lattice parameters (Å, degrees): 8.1350 8.1350 8.1350 90.00 90.00 90.00
Atoms (fractional coordinates):
Tb 0.0000 0.0000 0.0000
Tb 0.0000 0.5000 0.5000
Tb 0.5000 0.0000 0.5000
Tb 0.5000 0.5000 0.0000
Eu 0.2500 0.2500 0.7500
Eu 0.2500 0.7500 0.2500
Eu 0.7500 0.2500 0.2500
Eu 0.7500 0.7500 0.7500
Gd 0.2500 0.2500 0.2500
Gd 0.2500 0.7500 0.7500
Gd 0.7500 0.2500 0.7500
Gd 0.7500 0.7500 0.2500
Dy 0.0000 0.0000 0.5000
Dy 0.0000 0.5000 0.0000
Dy 0.5000 0.0000 0.0000
Dy 0.5000 0.5000 0.5000

Properties
energy relative to the elements = 146 meV per atom
raw total energy = -8.251 eV per atom
magnetization = 3.82 μB/atom
N(E_F) = 30.04 states/eV/cell

=====

Density functional theory data (GGA-PBE) for crystalline KRb2TeI at its relaxed geometry.

Lattice parameters (Å, degrees): 6.9329 6.9329 6.5763 90.00 90.00 90.00
Atoms (fractional coordinates):
K 0.0000 0.0000 0.0000
Rb 0.0000 0.5000 0.5000
Rb 0.5000 0.0000 0.5000
Te 0.0000 0.0000 0.5000
I 0.5000 0.5000 0.0000

Properties
raw total energy = -2.585 eV per atom
formation energy from raw total energies = -1.040 eV/atom
energy relative to the lowest polymorph listed for this composition = 0 meV per atom
magnetization = 0.00 μB/atom
N(E_F) = 0.00 states/eV/cell

=====

Density functional theory data (GGA-PBE) for crystalline TaTl2Si at its relaxed geometry.

Lattice parameters (Å, degrees): 7.1127 7.1127 7.1127 90.00 90.00 90.00
Atoms (fractional coordinates):
Ta 0.0000 0.0000 0.0000
Ta 0.0000 0.5000 0.5000
Ta 0.5000 0.0000 0.5000
Ta 0.5000 0.5000 0.0000
Tl 0.2500 0.2500 0.2500
Tl 0.2500 0.2500 0.7500
Tl 0.2500 0.7500 0.2500
Tl 0.2500 0.7500 0.7500
Tl 0.7500 0.2500 0.2500
Tl 0.7500 0.2500 0.7500
Tl 0.7500 0.7500 0.2500
Tl 0.7500 0.7500 0.7500
Si 0.0000 0.0000 0.5000
Si 0.0000 0.5000 0.0000
Si 0.5000 0.0000 0.0000
Si 0.5000 0.5000 0.5000

Properties
raw total energy = -4.413 eV per atom
formation energy from raw total energies = 1.089 eV/atom
energy relative to the lowest polymorph listed for this composition = 809 meV per atom
magnetization = 0.51 μB/atom
N(E_F) = 16.65 states/eV/cell

=====

Density functional theory data (GGA-PBE) for crystalline Nd2GdCd at its relaxed geometry.

Lattice parameters (Å, degrees): 3.7400 3.7400 8.9689 90.00 90.00 90.00
Atoms (fractional coordinates):
Nd 0.0000 0.0000 0.2259
Nd 0.0000 0.0000 0.7741
Gd 0.5000 0.5000 0.5000
Cd 0.5000 0.5000 0.0000

Properties
energy relative to the elements = -141 meV per atom
raw total energy = -6.274 eV per atom
energy relative to the lowest polymorph listed for this composition = 0 meV per atom
magnetization = 1.86 μB/atom
N(E_F) = 5.37 states/eV/cell

=====

Density functional theory data (GGA-PBE) for crystalline Zr3HgSb at its relaxed geometry.

Lattice parameters (Å, degrees): 5.2804 5.2804 5.2804 90.00 90.00 90.00
Atoms (fractional coordinates):
Zr 0.0000 0.0000 0.5000
Zr 0.0000 0.5000 0.0000
Zr 0.5000 0.0000 0.0000
Hg 0.5000 0.5000 0.5000
Sb 0.0000 0.0000 0.0000

Properties
raw total energy = -5.402 eV per atom
formation energy from raw total energies = 0.612 eV/atom
energy relative to the lowest polymorph listed for this composition = 0 meV per atom
magnetization = 0.00 μB/atom
N(E_F) = 6.75 states/eV/cell

=====

Density functional theory data (GGA-PBE) for crystalline SmGaRe at its relaxed geometry.

Lattice parameters (Å, degrees): 11.1738 3.2683 7.8866 90.00 116.27 90.00
Atoms (fractional coordinates):
Sm 0.1178 0.0000 0.2616
Sm 0.3822 0.5000 0.7384
Sm 0.6178 0.5000 0.2616
Sm 0.8822 0.0000 0.7384
Ga 0.1247 0.0000 0.6644
Ga 0.3753 0.5000 0.3356
Ga 0.6247 0.5000 0.6644
Ga 0.8753 0.0000 0.3356
Re 0.1565 0.5000 0.9582
Re 0.3435 0.0000 0.0418
Re 0.6565 0.0000 0.9582
Re 0.8435 0.5000 0.0418

Properties
energy relative to the elements = -12 meV per atom
raw total energy = -6.744 eV per atom
magnetization = 0.00 μB/atom
N(E_F) = 8.61 states/eV/cell

=====

Density functional theory data (GGA-PBE) for crystalline BaPbO2F at its relaxed geometry.

Lattice parameters (Å, degrees): 4.8492 4.8492 4.7842 90.00 90.00 90.00
Atoms (fractional coordinates):
Ba 0.0000 0.0000 0.0000
Pb 0.5000 0.5000 0.5000
O 0.0000 0.5000 0.0000
O 0.5000 0.0000 0.0000
F 0.0000 0.0000 0.5000

Properties
raw total energy = -4.731 eV per atom
formation energy from raw total energies = -1.247 eV/atom
magnetization = 0.20 μB/atom
N(E_F) = 0.78 states/eV/cell

=====

Density functional theory data (GGA-PBE) for crystalline Dy8Ga3Te3S at its relaxed geometry.

Lattice parameters (Å, degrees): 8.2608 8.2608 8.6133 118.77 118.77 59.89
Atoms (fractional coordinates):
Dy 0.2407 0.2407 0.7238
Dy 0.2412 0.7415 0.7239
Dy 0.2559 0.2559 0.2676
Dy 0.2585 0.7588 0.2761
Dy 0.7415 0.2412 0.7239
Dy 0.7441 0.7441 0.7324
Dy 0.7588 0.2585 0.2761
Dy 0.7593 0.7593 0.2762
Ga 0.0000 0.5000 0.5000
Ga 0.5000 0.0000 0.5000
Ga 0.5000 0.5000 0.5000
Te 0.0000 0.0000 0.0000
Te 0.0000 0.5000 0.0000
Te 0.5000 0.0000 0.0000
S 0.0000 0.0000 0.5000

Properties
raw total energy = -4.918 eV per atom
formation energy from raw total energies = -0.954 eV/atom
magnetization = 0.00 μB/atom
N(E_F) = 10.28 states/eV/cell

=====

Density functional theory data (GGA-PBE) for crystalline OsRhI2N at its relaxed geometry.

Lattice parameters (Å, degrees): 5.4317 5.4317 3.6004 90.00 90.00 90.00
Atoms (fractional coordinates):
Os 0.0000 0.0000 0.0000
Rh 0.5000 0.5000 0.5000
I 0.0000 0.5000 0.5000
I 0.5000 0.0000 0.5000
N 0.5000 0.5000 0.0000

Properties
raw total energy = -4.573 eV per atom
formation energy from raw total energies = 1.429 eV/atom
energy relative to the lowest polymorph listed for this composition = 553 meV per atom
magnetization = 0.14 μB/atom
N(E_F) = 4.91 states/eV/cell

=====

Density functional theory data (GGA-PBE) for crystalline Dy3TmPd12 at its relaxed geometry.

Lattice parameters (Å, degrees): 4.1083 4.1083 16.5259 90.00 90.00 90.00
Atoms (fractional coordinates):
Dy 0.0000 0.0000 0.0000
Dy 0.0000 0.0000 0.2512
Dy 0.0000 0.0000 0.7488
Tm 0.0000 0.0000 0.5000
Pd 0.0000 0.5000 0.1255
Pd 0.0000 0.5000 0.3767
Pd 0.0000 0.5000 0.6233
Pd 0.0000 0.5000 0.8745
Pd 0.5000 0.0000 0.1255
Pd 0.5000 0.0000 0.3767
Pd 0.5000 0.0000 0.6233
Pd 0.5000 0.0000 0.8745
Pd 0.5000 0.5000 0.0000
Pd 0.5000 0.5000 0.2509
Pd 0.5000 0.5000 0.5000
Pd 0.5000 0.5000 0.7491

Properties
energy relative to the elements = -886 meV per atom
raw total energy = -5.923 eV per atom
magnetization = 0.00 μB/atom
N(E_F) = 12.38 states/eV/cell

=====

Density functional theory data (GGA-PBE) for crystalline Nb2GeAu at its relaxed geometry.

Lattice parameters (Å, degrees): 7.2760 7.2760 5.6713 90.00 90.00 90.00
Atoms (fractional coordinates):
Nb 0.2363 0.7500 0.1250
Nb 0.2500 0.2363 0.8750
Nb 0.2500 0.2637 0.3750
Nb 0.2637 0.7500 0.6250
Nb 0.7363 0.2500 0.6250
Nb 0.7500 0.7363 0.3750
Nb 0.7500 0.7637 0.8750
Nb 0.7637 0.2500 0.1250
Ge 0.0000 0.0000 0.0000
Ge 0.0000 0.5000 0.2500
Ge 0.5000 0.0000 0.7500
Ge 0.5000 0.5000 0.5000
Au 0.0000 0.0000 0.5000
Au 0.0000 0.5000 0.7500
Au 0.5000 0.0000 0.2500
Au 0.5000 0.5000 0.0000

Properties
energy relative to the elements = 97 meV per atom
raw total energy = -6.912 eV per atom
magnetization = 0.00 μB/atom
N(E_F) = 8.93 states/eV/cell

=====

Density functional theory data (GGA-PBE) for crystalline FeSe3 at its relaxed geometry.

Lattice parameters (Å, degrees): 4.2637 4.2637 4.2637 90.00 90.00 90.00
Atoms (fractional coordinates):
Fe 0.0000 0.0000 0.0000
Se 0.0000 0.5000 0.5000
Se 0.5000 0.0000 0.5000
Se 0.5000 0.5000 0.0000

Properties
raw total energy = -3.979 eV per atom
formation energy from raw total energies = 0.750 eV/atom
magnetization = 0.87 μB/atom
N(E_F) = 5.95 states/eV/cell

=====

Density functional theory data (GGA-PBE) for crystalline PbAuBr2 at its relaxed geometry.

Lattice parameters (Å, degrees): 8.0523 8.0523 7.0889 90.00 90.00 90.00
Atoms (fractional coordinates):
Pb 0.0000 0.0000 0.0000
Pb 0.0000 0.5000 0.2500
Pb 0.5000 0.0000 0.7500
Pb 0.5000 0.5000 0.5000
Au 0.0000 0.0000 0.5000
Au 0.0000 0.5000 0.7500
Au 0.5000 0.0000 0.2500
Au 0.5000 0.5000 0.0000
Br 0.2289 0.2500 0.6250
Br 0.2500 0.7289 0.8750
Br 0.2500 0.7711 0.3750
Br 0.2711 0.2500 0.1250
Br 0.7289 0.7500 0.1250
Br 0.7500 0.2289 0.3750
Br 0.7500 0.2711 0.8750
Br 0.7711 0.7500 0.6250

Properties
raw total energy = -2.669 eV per atom
formation energy from raw total energies = -0.086 eV/atom
energy relative to the lowest polymorph listed for this composition = 265 meV per atom
magnetization = 0.00 μB/atom
N(E_F) = 19.65 states/eV/cell

=====

Density functional theory data (GGA-PBE) for crystalline MgMo5 at its relaxed geometry.

Lattice parameters (Å, degrees): 4.8251 4.8251 4.8464 90.00 90.00 120.00
Atoms (fractional coordinates):
Mg 0.0000 0.0000 0.0000
Mo 0.0000 0.6598 0.5000
Mo 0.3333 0.6667 0.0000
Mo 0.3402 0.3402 0.5000
Mo 0.6598 0.0000 0.5000
Mo 0.6667 0.3333 0.0000

Properties
energy relative to the elements = 441 meV per atom
raw total energy = -8.851 eV per atom
energy relative to the lowest polymorph listed for this composition = 231 meV per atom
magnetization = 0.00 μB/atom
N(E_F) = 6.58 states/eV/cell

=====

Density functional theory data (GGA-PBE) for crystalline CsCePdO4 at its relaxed geometry.

Lattice parameters (Å, degrees): 6.0836 6.0496 7.8286 90.00 103.58 90.00
Atoms (fractional coordinates):
Cs 0.1746 0.2500 0.1016
Cs 0.8254 0.7500 0.8984
Ce 0.1702 0.7500 0.4732
Ce 0.8298 0.2500 0.5268
Pd 0.3862 0.2500 0.6902
Pd 0.6138 0.7500 0.3098
O 0.1197 0.0188 0.6700
O 0.1197 0.4812 0.6700
O 0.2861 0.7500 0.2191
O 0.4538 0.2500 0.4555
O 0.5462 0.7500 0.5445
O 0.7139 0.2500 0.7809
O 0.8803 0.5188 0.3300
O 0.8803 0.9812 0.3300

Properties
raw total energy = -6.223 eV per atom
formation energy from raw total energies = -1.678 eV/atom
magnetization = 0.15 μB/atom
N(E_F) = 3.28 states/eV/cell